No. 1
Here is Li4CaMgCd2 after structural relaxation from Alexandria via LeMat-Bulk. Energies are from PBE.

Cell lengths 4.913, 4.913, 8.424 Å; angles 73.05, 73.05, 60.00 degrees
Element x y z (fractional)
Ca  0.000  0.000  0.000
Cd  0.749  0.749  0.753
Cd  0.251  0.251  0.247
Li  0.868  0.868  0.397
Li  0.132  0.132  0.603
Li  0.618  0.618  0.147
Li  0.382  0.382  0.853
Mg  0.500  0.500  0.500

Properties
As for the calculated formation energy: -164 meV/atom. For the density of states at the Fermi level, the calculation gives 2.6 states/eV/cell. The magnetic moment comes out at 0.0 μB/cell. The symmetry is R-3m (166).


No. 2
Here is Li3Ca2Mg12Cd after structural relaxation from Alexandria via LeMat-Bulk. Energies are from PBE.

Cell lengths 7.802, 7.802, 7.802 Å; angles 83.93, 83.93, 83.93 degrees
Element x y z (fractional)
Mg  0.714  0.190  0.190
Mg  0.810  0.286  0.810
Mg  0.190  0.190  0.714
Mg  0.612  0.076  0.612
Mg  0.190  0.714  0.190
Mg  0.286  0.810  0.810
Mg  0.388  0.924  0.388
Mg  0.612  0.612  0.076
Mg  0.076  0.612  0.612
Mg  0.924  0.388  0.388
Mg  0.810  0.810  0.286
Mg  0.388  0.388  0.924
Ca  0.628  0.628  0.628
Ca  0.372  0.372  0.372
Cd  0.000  0.000  0.000
Li  0.500  0.000  0.000
Li  0.000  0.000  0.500
Li  0.000  0.500  0.000

Properties
As for the calculated formation energy: 89 meV/atom. For the density of states at the Fermi level, the calculation gives 8.4 states/eV/cell. The magnetic moment comes out at 0.0 μB/cell. The symmetry is R-3m (166).


No. 3
Here is LiCa2Mg12Cd3 after structural relaxation from Alexandria via LeMat-Bulk. Energies are from PBE.

Cell lengths 11.179, 11.179, 11.179 Å; angles 39.01, 39.01, 39.01 degrees
Element x y z (fractional)
Mg  0.809  0.417  0.417
Mg  0.362  0.917  0.917
Mg  0.917  0.362  0.917
Mg  0.917  0.917  0.362
Mg  0.638  0.083  0.083
Mg  0.083  0.083  0.638
Mg  0.417  0.417  0.809
Mg  0.417  0.809  0.417
Mg  0.583  0.583  0.191
Mg  0.191  0.583  0.583
Mg  0.083  0.638  0.083
Mg  0.583  0.191  0.583
Ca  0.645  0.645  0.645
Ca  0.355  0.355  0.355
Cd  0.000  0.000  0.500
Cd  0.000  0.500  0.000
Cd  0.500  0.000  0.000
Li  0.000  0.000  0.000

Properties
As for the calculated formation energy: 133 meV/atom. For the density of states at the Fermi level, the calculation gives 9.2 states/eV/cell. The magnetic moment comes out at 0.0 μB/cell. The symmetry is R-3m (166).


No. 4
Here is Li2CaCdN after structural relaxation from Alexandria via LeMat-Bulk. Energies are from PBE.

Cell lengths 4.390, 4.390, 4.749 Å; angles 90.00, 90.00, 90.00 degrees
Element x y z (fractional)
Ca  0.000  0.000  0.500
Li  0.500  0.000  0.000
Li  0.000  0.500  0.000
Cd  0.500  0.500  0.500
N  0.000  0.000  0.000

Properties
For the density of states at the Fermi level, the calculation gives 3.3 states/eV/cell. The magnetic moment comes out at 0.1 μB/cell. The calculation puts the uncorrected formation energy at -0.2539 eV/atom. The symmetry is P4/mmm (123).


No. 5
Here is Li2CaNdCd2 after structural relaxation from Alexandria via LeMat-Bulk. Energies are from PBE.

Cell lengths 5.010, 5.010, 7.126 Å; angles 90.00, 90.00, 120.00 degrees
Element x y z (fractional)
Nd  0.000  0.000  0.000
Li  0.333  0.667  0.751
Li  0.667  0.333  0.249
Cd  0.667  0.333  0.771
Cd  0.333  0.667  0.229
Ca  0.000  0.000  0.500

Properties
As for the calculated formation energy: -190 meV/atom. For the density of states at the Fermi level, the calculation gives 5.6 states/eV/cell. The magnetic moment comes out at 0.0 μB/cell. The symmetry is P-3m1 (164).


No. 6
Here is LiCaCd2Ni after structural relaxation from Alexandria via LeMat-Bulk. Energies are from PBE.

Cell lengths 5.013, 5.013, 4.591 Å; angles 90.00, 90.00, 90.00 degrees
Element x y z (fractional)
Ca  0.500  0.500  0.500
Cd  0.500  0.000  0.000
Cd  0.000  0.500  0.000
Ni  0.000  0.000  0.000
Li  0.000  0.000  0.500

Properties
As for the calculated formation energy: -59 meV/atom. For the density of states at the Fermi level, the calculation gives 2.6 states/eV/cell. The magnetic moment comes out at 0.0 μB/cell. The symmetry is P4/mmm (123).


No. 7
Here is LiCa2CdNi after structural relaxation from Alexandria via LeMat-Bulk. Energies are from PBE.

Cell lengths 5.326, 5.060, 5.326 Å; angles 90.00, 90.00, 90.00 degrees
Element x y z (fractional)
Ca  0.000  0.000  0.500
Ca  0.500  0.000  0.000
Ni  0.000  0.000  0.000
Cd  0.000  0.500  0.000
Li  0.500  0.500  0.500

Properties
As for the calculated formation energy: -42 meV/atom. For the density of states at the Fermi level, the calculation gives 3.0 states/eV/cell. The magnetic moment comes out at 0.0 μB/cell. The symmetry is P4/mmm (123).


No. 8
Here is Li2CaCdNi after structural relaxation from Alexandria via LeMat-Bulk. Energies are from PBE.

Cell lengths 4.682, 4.682, 5.011 Å; angles 90.00, 90.00, 90.00 degrees
Element x y z (fractional)
Li  0.500  0.000  0.000
Li  0.000  0.500  0.000
Ni  0.000  0.000  0.000
Cd  0.000  0.000  0.500
Ca  0.500  0.500  0.500

Properties
As for the calculated formation energy: 19 meV/atom. For the density of states at the Fermi level, the calculation gives 2.9 states/eV/cell. The magnetic moment comes out at 0.0 μB/cell. The symmetry is P4/mmm (123).


No. 9
Here is LiCa2CdNi after structural relaxation from Alexandria via LeMat-Bulk. Energies are from PBE.

Cell lengths 5.384, 5.384, 4.670 Å; angles 90.00, 90.00, 90.00 degrees
Element x y z (fractional)
Cd  0.500  0.500  0.500
Ca  0.500  0.000  0.000
Ca  0.000  0.500  0.000
Li  0.000  0.000  0.500
Ni  0.000  0.000  0.000

Properties
As for the calculated formation energy: -9 meV/atom. For the density of states at the Fermi level, the calculation gives 2.9 states/eV/cell. The magnetic moment comes out at 0.0 μB/cell. The symmetry is P4/mmm (123).


No. 10
Here is Li2Ca2CdO4 after structural relaxation from Alexandria via LeMat-Bulk. Energies are from PBE.

Cell lengths 3.216, 6.310, 5.838 Å; angles 109.09, 90.00, 104.76 degrees
Element x y z (fractional)
O  0.522  0.044  0.740
O  0.478  0.956  0.260
O  0.774  0.547  0.772
O  0.226  0.453  0.228
Li  0.322  0.644  0.991
Li  0.678  0.356  0.009
Cd  0.000  0.000  0.000
Ca  0.867  0.734  0.455
Ca  0.133  0.266  0.545

Properties
For the density of states at the Fermi level, the calculation gives 0.0 states/eV/cell. The magnetic moment comes out at 0.0 μB/cell. The calculation puts the uncorrected formation energy at -2.0170 eV/atom. The symmetry is C2/m (12).


No. 11
Here is LiCa2CdO after structural relaxation from Alexandria via LeMat-Bulk. Energies are from PBE.

Cell lengths 4.838, 4.838, 4.437 Å; angles 90.00, 90.00, 90.00 degrees
Element x y z (fractional)
O  0.000  0.000  0.000
Cd  0.500  0.500  0.500
Li  0.000  0.000  0.500
Ca  0.500  0.000  0.000
Ca  0.000  0.500  0.000

Properties
For the density of states at the Fermi level, the calculation gives 1.9 states/eV/cell. The magnetic moment comes out at 0.0 μB/cell. The calculation puts the uncorrected formation energy at -1.1980 eV/atom. The symmetry is P4/mmm (123).


No. 12
Here is Li2CaCdP after structural relaxation from Alexandria via LeMat-Bulk. Energies are from PBE.

Cell lengths 4.800, 4.800, 5.536 Å; angles 90.00, 90.00, 90.00 degrees
Element x y z (fractional)
Cd  0.500  0.500  0.500
Ca  0.000  0.000  0.500
P  0.000  0.000  0.000
Li  0.500  0.000  0.000
Li  0.000  0.500  0.000

Properties
As for the calculated formation energy: -431 meV/atom. For the density of states at the Fermi level, the calculation gives 3.1 states/eV/cell. The magnetic moment comes out at 0.4 μB/cell. The symmetry is P4/mmm (123).


No. 13
Here is LiCa2CdP after structural relaxation from Alexandria via LeMat-Bulk. Energies are from PBE.

Cell lengths 5.529, 5.529, 4.729 Å; angles 90.00, 90.00, 90.00 degrees
Element x y z (fractional)
Li  0.000  0.000  0.500
P  0.000  0.000  0.000
Ca  0.500  0.000  0.000
Ca  0.000  0.500  0.000
Cd  0.500  0.500  0.500

Properties
As for the calculated formation energy: -525 meV/atom. For the density of states at the Fermi level, the calculation gives 4.2 states/eV/cell. The magnetic moment comes out at 0.0 μB/cell. The symmetry is P4/mmm (123).


No. 14
Here is Li2CaCdPb after structural relaxation from Alexandria via LeMat-Bulk. Energies are from PBE.

Cell lengths 5.370, 6.267, 5.370 Å; angles 90.00, 90.00, 90.00 degrees
Element x y z (fractional)
Li  0.500  0.000  0.000
Li  0.000  0.000  0.500
Pb  0.500  0.500  0.500
Ca  0.000  0.500  0.000
Cd  0.000  0.000  0.000

Properties
As for the calculated formation energy: 115 meV/atom. For the density of states at the Fermi level, the calculation gives 3.1 states/eV/cell. The magnetic moment comes out at 0.0 μB/cell. The symmetry is P4/mmm (123).


No. 15
Here is LiCaCd3Pd after structural relaxation from Alexandria via LeMat-Bulk. Energies are from PBE.

Cell lengths 5.816, 6.255, 7.855 Å; angles 113.46, 90.00, 90.00 degrees
Element x y z (fractional)
Ca  0.250  0.691  0.383
Ca  0.750  0.309  0.617
Cd  0.000  0.265  0.000
Cd  0.000  0.735  0.000
Cd  0.500  0.265  0.000
Cd  0.500  0.735  0.000
Cd  0.250  0.162  0.325
Cd  0.750  0.838  0.675
Pd  0.750  0.642  0.285
Pd  0.250  0.358  0.715
Li  0.750  0.110  0.221
Li  0.250  0.890  0.779

Properties
As for the calculated formation energy: -252 meV/atom. For the density of states at the Fermi level, the calculation gives 5.8 states/eV/cell. The magnetic moment comes out at 0.0 μB/cell. The symmetry is Cmcm (63).


No. 16
Here is LiCa2Cd2Pd5 after structural relaxation from Alexandria via LeMat-Bulk. Energies are from PBE.

Cell lengths 3.827, 10.132, 10.132 Å; angles 90.00, 90.00, 90.00 degrees
Element x y z (fractional)
Cd  0.000  0.631  0.869
Cd  0.000  0.369  0.131
Cd  0.000  0.869  0.369
Cd  0.000  0.131  0.631
Pd  0.500  0.442  0.311
Pd  0.500  0.689  0.442
Pd  0.500  0.058  0.811
Pd  0.500  0.311  0.558
Pd  0.500  0.811  0.942
Pd  0.500  0.500  0.000
Pd  0.500  0.000  0.500
Pd  0.500  0.558  0.689
Pd  0.500  0.189  0.058
Pd  0.500  0.942  0.189
Ca  0.000  0.670  0.170
Ca  0.000  0.330  0.830
Ca  0.000  0.170  0.330
Ca  0.000  0.830  0.670
Li  0.000  0.500  0.500
Li  0.000  0.000  0.000

Properties
As for the calculated formation energy: -424 meV/atom. For the density of states at the Fermi level, the calculation gives 6.5 states/eV/cell. The magnetic moment comes out at 0.0 μB/cell. The symmetry is P4/mbm (127).


No. 17
Here is LiCaPmCd after structural relaxation from Alexandria via LeMat-Bulk. Energies are from PBE.

Cell lengths 5.407, 5.407, 5.407 Å; angles 60.00, 60.00, 60.00 degrees
Element x y z (fractional)
Ca  0.500  0.500  0.500
Li  0.250  0.250  0.250
Cd  0.750  0.750  0.750
Pm  0.000  0.000  0.000

Properties
As for the calculated formation energy: -162 meV/atom. For the density of states at the Fermi level, the calculation gives 3.1 states/eV/cell. The magnetic moment comes out at 0.0 μB/cell. The symmetry is F-43m (216).


No. 18
Here is LiCaPm2Cd4 after structural relaxation from Alexandria via LeMat-Bulk. Energies are from PBE.

Cell lengths 5.294, 5.294, 9.137 Å; angles 73.16, 73.16, 60.00 degrees
Element x y z (fractional)
Li  0.500  0.500  0.500
Cd  0.380  0.380  0.860
Cd  0.127  0.127  0.619
Cd  0.620  0.620  0.140
Cd  0.873  0.873  0.381
Pm  0.751  0.751  0.748
Pm  0.249  0.249  0.252
Ca  0.000  0.000  0.000

Properties
As for the calculated formation energy: -306 meV/atom. For the density of states at the Fermi level, the calculation gives 5.3 states/eV/cell. The magnetic moment comes out at 0.0 μB/cell. The symmetry is R-3m (166).


No. 19
Here is LiCaCdPt after structural relaxation from Alexandria via LeMat-Bulk. Energies are from PBE.

Cell lengths 4.835, 4.835, 4.835 Å; angles 60.00, 60.00, 60.00 degrees
Element x y z (fractional)
Cd  0.000  0.000  0.000
Pt  0.750  0.750  0.750
Ca  0.500  0.500  0.500
Li  0.250  0.250  0.250

Properties
As for the calculated formation energy: -540 meV/atom. For the density of states at the Fermi level, the calculation gives 1.5 states/eV/cell. The magnetic moment comes out at 0.0 μB/cell. The symmetry is F-43m (216).


No. 20
Here is LiCa2CdPt after structural relaxation from Alexandria via LeMat-Bulk. Energies are from PBE.

Cell lengths 5.511, 5.511, 5.289 Å; angles 90.00, 90.00, 90.00 degrees
Element x y z (fractional)
Pt  0.000  0.000  0.000
Ca  0.500  0.000  0.000
Ca  0.000  0.500  0.000
Li  0.500  0.500  0.500
Cd  0.000  0.000  0.500

Properties
As for the calculated formation energy: -353 meV/atom. For the density of states at the Fermi level, the calculation gives 1.6 states/eV/cell. The magnetic moment comes out at 0.0 μB/cell. The symmetry is P4/mmm (123).